ZrTi3Ga | PBE | relaxed

Cell lengths 4.8087, 4.8087, 4.8087 Å; angles 90.00, 90.00, 90.00 degrees
Sites, in units of the cell vectors:
Ti 0.0000 0.5000 0.0000
Ti 0.0000 0.0000 0.5000
Ti 0.5000 0.0000 0.0000
Ga 0.5000 0.5000 0.5000
Zr 0.0000 0.0000 0.0000

Properties
Its crystal system is cubic. The total magnetization comes out at 0.2637 μB/atom. For the formation energy, the calculation gives 1129 meV per atom. As for the excess energy over the best structure of this formula in the dataset: 1.0192 eV per atom.

---

Zr4TiGa2 | PBE | relaxed

Cell lengths 4.5711, 4.5711, 8.3109 Å; angles 74.04, 74.04, 90.00 degrees
Sites, in units of the cell vectors:
Zr 0.0000 0.5000 0.0000
Zr 0.5000 0.0000 0.0000
Zr 0.8129 0.8129 0.3741
Zr 0.1871 0.1871 0.6259
Ga 0.6333 0.6333 0.7335
Ga 0.3667 0.3667 0.2666
Ti 0.0000 0.0000 0.0000

Properties
Its crystal system is tetragonal. The total magnetization comes out at 0.0000 μB/atom. For the formation energy, the calculation gives 446 meV per atom. As for the excess energy over the best structure of this formula in the dataset: 0.4914 eV per atom.

---

ZrTiGa2 | PBE | relaxed

Cell lengths 7.2949, 7.2949, 5.8837 Å; angles 51.69, 51.69, 90.00 degrees
Sites, in units of the cell vectors:
Ga 0.8750 0.8603 0.7500
Ga 0.6103 0.1250 0.2500
Ga 0.1397 0.6250 0.2500
Ga 0.3750 0.3897 0.7500
Zr 0.7500 0.2500 0.5000
Zr 0.0000 0.0000 0.0000
Ti 0.5000 0.5000 0.0000
Ti 0.2500 0.7500 0.5000

Properties
Its crystal system is tetragonal. The total magnetization comes out at 0.0000 μB/atom. For the formation energy, the calculation gives -185 meV per atom. As for the excess energy over the best structure of this formula in the dataset: 0.3004 eV per atom.

---

ZrTi4Ga2 | PBE | relaxed

Cell lengths 4.4755, 2.7873, 10.0870 Å; angles 97.95, 102.82, 90.01 degrees
Sites, in units of the cell vectors:
Ti 0.2783 0.7790 0.5565
Ti 0.1454 0.1467 0.2909
Ti 0.8546 0.8533 0.7091
Ti 0.7217 0.2210 0.4435
Ga 0.4140 0.4140 0.8279
Ga 0.5860 0.5860 0.1721
Zr 0.0000 0.0000 0.0000

Properties
Its crystal system is orthorhombic. The total magnetization comes out at 0.0000 μB/atom. For the formation energy, the calculation gives -201 meV per atom. As for the excess energy over the best structure of this formula in the dataset: 0.0937 eV per atom.

---

- The highest formation energy belongs to which entry?
  ZrTi3Ga